A plane-wave DFT calculation with GGA-PBE was carried out for RbLiCd11 after structural relaxation.

Cell: 7.7811 7.7811 7.9468 Å, 97.78 97.78 135.28°
Last column: nearest neighbours and their distance in Å.
Fractional positions:
Rb  0.0000  0.0000  0.0000  18 Cd 3.66-3.97, 2 Li 4.02
Li  0.5000  0.5000  0.5000  10 Cd 2.91-3.07
Cd  0.0000  0.0000  0.5000  2 Li 2.96, 8 Cd 2.99-3.14
Cd  0.0000  0.5000  0.0000  10 Cd 2.96-3.29
Cd  0.0202  0.3699  0.3576  7 Cd 3.03-3.29, 1 Li 3.07
Cd  0.2854  0.5023  0.7716  1 Li 2.91, 6 Cd 2.99-3.22
Cd  0.3699  0.0202  0.3576  7 Cd 3.03-3.29, 1 Li 3.07
Cd  0.4977  0.7146  0.2284  1 Li 2.91, 6 Cd 2.99-3.22
Cd  0.5000  0.0000  0.0000  10 Cd 2.96-3.29
Cd  0.5023  0.2854  0.7716  1 Li 2.91, 6 Cd 2.99-3.22
Cd  0.6301  0.9798  0.6424  7 Cd 3.03-3.29, 1 Li 3.07
Cd  0.7146  0.4977  0.2284  1 Li 2.91, 6 Cd 2.99-3.22
Cd  0.9798  0.6301  0.6424  7 Cd 3.03-3.29, 1 Li 3.07

Values from the calculation:
E_tot = -1.059 eV/atom
Crystal system = monoclinic
Mass density = 7.0 g/cm³

***

A plane-wave DFT calculation with GGA-PBE was carried out for Rb2Li2Cd15 after structural relaxation.

Cell: 7.9092 7.9092 7.9092 Å, 83.29 83.29 83.29°
Last column: nearest neighbours and their distance in Å.
Fractional positions:
Rb  0.1555  0.1555  0.1555  18 Cd 3.71-4.07, 1 Li 3.74
Rb  0.8445  0.8445  0.8445  18 Cd 3.71-4.07, 1 Li 3.74
Li  0.4012  0.4012  0.4012  1 Li 3.01, 6 Cd 3.21-3.28
Li  0.5988  0.5988  0.5988  1 Li 3.01, 6 Cd 3.21-3.28
Cd  0.0000  0.5000  0.5000  8 Cd 2.98-3.03, 2 Li 3.21
Cd  0.1503  0.1503  0.6459  8 Cd 3.03-3.21, 1 Li 3.28
Cd  0.1503  0.6459  0.1503  8 Cd 3.03-3.21, 1 Li 3.28
Cd  0.2132  0.5000  0.7868  8 Cd 2.98-3.21
Cd  0.2132  0.7868  0.5000  8 Cd 2.98-3.21
Cd  0.3541  0.8497  0.8497  8 Cd 3.03-3.21, 1 Li 3.28
Cd  0.5000  0.0000  0.5000  8 Cd 2.98-3.03, 2 Li 3.21
Cd  0.5000  0.2132  0.7868  8 Cd 2.98-3.21
Cd  0.5000  0.5000  0.0000  8 Cd 2.98-3.03, 2 Li 3.21
Cd  0.5000  0.7868  0.2132  8 Cd 2.98-3.21
Cd  0.6459  0.1503  0.1503  8 Cd 3.03-3.21, 1 Li 3.28
Cd  0.7868  0.2132  0.5000  8 Cd 2.98-3.21
Cd  0.7868  0.5000  0.2132  8 Cd 2.98-3.21
Cd  0.8497  0.3541  0.8497  8 Cd 3.03-3.21, 1 Li 3.28
Cd  0.8497  0.8497  0.3541  8 Cd 3.03-3.21, 1 Li 3.28

Values from the calculation:
E_tot = -1.097 eV/atom
Crystal system = trigonal
Mass density = 6.4 g/cm³

***

A plane-wave DFT calculation with GGA-PBE was carried out for RbLiCd after structural relaxation.

Cell: 5.0758 5.0758 5.3028 Å, 90.00 90.00 120.00°
Last column: nearest neighbours and their distance in Å.
Fractional positions:
Rb  0.0000  0.0000  0.0000  6 Cd 3.95, 6 Li 3.95
Li  0.6667  0.3333  0.5000  3 Cd 2.93
Cd  0.3333  0.6667  0.5000  3 Li 2.93

Values from the calculation:
E_tot = -1.219 eV/atom
Crystal system = hexagonal
Mass density = 2.9 g/cm³
Energy relative to the lowest polymorph listed for this composition = 0.19 eV/f.u.

***

A plane-wave DFT calculation with GGA-PBE was carried out for RbLiCd3 after structural relaxation.

Cell: 5.3590 5.3590 5.3590 Å, 90.00 90.00 90.00°
Last column: nearest neighbours and their distance in Å.
Fractional positions:
Rb  0.0000  0.0000  0.0000  12 Cd 3.79
Li  0.5000  0.5000  0.5000  6 Cd 2.68
Cd  0.0000  0.5000  0.5000  2 Li 2.68
Cd  0.5000  0.0000  0.5000  2 Li 2.68
Cd  0.5000  0.5000  0.0000  2 Li 2.68

Values from the calculation:
E_tot = -1.104 eV/atom
Crystal system = cubic
Mass density = 4.6 g/cm³
Energy relative to the lowest polymorph listed for this composition = 0.00 eV/f.u.

***

A plane-wave DFT calculation with GGA-PBE was carried out for RbLiCd2 after structural relaxation.

Cell: 3.7455 3.7455 8.4929 Å, 90.00 90.00 90.00°
Last column: nearest neighbours and their distance in Å.
Fractional positions:
Rb  0.0000  0.0000  0.0000  4 Rb 3.75, 8 Cd 3.84
Li  0.0000  0.0000  0.5000  8 Cd 3.03
Cd  0.5000  0.5000  0.3276  1 Cd 2.93, 4 Li 3.03
Cd  0.5000  0.5000  0.6724  1 Cd 2.93, 4 Li 3.03

Values from the calculation:
E_tot = -1.241 eV/atom
Crystal system = tetragonal
Mass density = 4.4 g/cm³
Energy relative to the lowest polymorph listed for this composition = 0.00 eV/f.u.

***

A plane-wave DFT calculation with GGA-PBE was carried out for RbLi2Cd2 after structural relaxation.

Cell: 7.0372 7.0372 7.0372 Å, 138.39 138.39 60.30°
Last column: nearest neighbours and their distance in Å.
Fractional positions:
Rb  0.0000  0.0000  0.0000  8 Cd 3.84, 8 Li 3.94
Li  0.2500  0.7500  0.5000  4 Cd 2.93
Li  0.7500  0.2500  0.5000  4 Cd 2.93
Cd  0.3758  0.3758  0.0000  4 Li 2.93, 1 Cd 3.02
Cd  0.6242  0.6242  0.0000  4 Li 2.93, 1 Cd 3.02

Values from the calculation:
E_tot = -1.341 eV/atom
Crystal system = tetragonal
Mass density = 3.5 g/cm³
Energy relative to the lowest polymorph listed for this composition = 0.17 eV/f.u.

***

What are the formation enthalpy at 0 K values for these records? In order: -63; -71; 47; 21; -63; -16 meV/atom.